# SiTeAs2, relaxed, DFT PBE
data_SiTeAs2
_chemical_formula_sum 'Si4 Te4 As8'
_space_group_name_H-M_alt 'F m -3 m'
_space_group_IT_number 225
_space_group_name_Hall '-F 4 2 3'
_cell_length_a 6.927
_cell_length_b 6.927
_cell_length_c 6.927
_cell_angle_alpha 90.00
_cell_angle_beta 90.00
_cell_angle_gamma 90.00
loop_
_atom_site_label
_atom_site_type_symbol
_atom_site_fract_x
_atom_site_fract_y
_atom_site_fract_z
_atom_site_occupancy
Si1 Si 0.000 0.000 0.000 1
Te1 Te 0.000 0.000 0.500 1
As1 As 0.250 0.250 0.250 1
# * E above lowest polymorph: 436 meV/atom
# * crystal system: cubic
# * volume: 20.775 Å³/atom
# * theoretical density: 6105 kg/m3



# SiTeAs2, relaxed, DFT PBE
data_SiTeAs2
_chemical_formula_sum 'Si1 Te1 As2'
_space_group_name_H-M_alt 'P 4 m m'
_space_group_IT_number 99
_cell_length_a 3.292
_cell_length_b 3.292
_cell_length_c 8.207
_cell_angle_alpha 90.00
_cell_angle_beta 90.00
_cell_angle_gamma 90.00
loop_
_space_group_symop_operation_xyz
'x,y,z'
'-y,x,z'
'-x,-y,z'
'y,-x,z'
'-x,y,z'
'y,x,z'
'x,-y,z'
'-y,-x,z'
loop_
_atom_site_label
_atom_site_type_symbol
_atom_site_fract_x
_atom_site_fract_y
_atom_site_fract_z
_atom_site_occupancy
Si1 Si 0.000 0.000 0.000 1
Te1 Te 0.500 0.500 0.289 1
As1 As 0.000 0.000 0.647 1
As2 As 0.500 0.500 0.820 1
# * E above lowest polymorph: 295 meV/atom
# * crystal system: tetragonal
# * volume: 22.239 Å³/atom
# * theoretical density: 5703 kg/m3



> Which of these has the highest volume?

number 2



> What is the volume in the first record?

20.775 Å³/atom